[1]
An optimized crystal structure of LiAc2S2I2, computed with PBE.

```
LiAc2S2I2
1.0
4.977 0.000 0.000
-2.488 4.310 0.000
0.000 0.000 13.352
Li Ac S I
1 2 2 2
direct
0.000 0.000 0.000 Li
0.333 0.667 0.629 Ac
0.667 0.333 0.371 Ac
0.333 0.667 0.410 S
0.667 0.333 0.590 S
0.000 0.000 0.204 I
0.000 0.000 0.796 I
```

Computed properties:
crystal system: trigonal
size of the total moment: 0.4 μB per formula unit
energy relative to the elements, uncorrected: -1556 meV per atom

[2]
An optimized crystal structure of ThSi4Pd8, computed with PBE.

```
ThSi4Pd8
1.0
-4.393 4.393 2.644
4.393 -4.393 2.644
4.393 4.393 -2.644
Th Si Pd
1 4 8
direct
0.000 0.000 0.000 Th
0.000 0.000 0.500 Si
0.000 0.500 0.000 Si
0.500 0.000 0.000 Si
0.500 0.500 0.500 Si
0.000 0.331 0.331 Pd
0.000 0.669 0.669 Pd
0.276 0.500 0.776 Pd
0.331 0.000 0.331 Pd
0.500 0.276 0.776 Pd
0.500 0.724 0.224 Pd
0.669 0.000 0.669 Pd
0.724 0.500 0.224 Pd
```

Computed properties:
crystal system: tetragonal
size of the total moment: 0.0 μB per formula unit
energy relative to the elements, uncorrected: -660 meV per atom

[3]
An optimized crystal structure of CdSbBr2, computed with PBE.

```
CdSbBr2
1.0
3.399 0.000 0.000
0.000 3.399 0.000
0.000 0.000 11.792
Cd Sb Br
1 1 2
direct
0.000 0.000 0.000 Cd
0.000 0.000 0.500 Sb
0.500 0.500 0.147 Br
0.500 0.500 0.853 Br
```

Computed properties:
crystal system: tetragonal
size of the total moment: 0.0 μB per formula unit
distance to the lowest polymorph of the same formula: 0.2710 eV/atom
energy relative to the elements, uncorrected: -71 meV per atom

[4]
An optimized crystal structure of BaIr2Au, computed with PBE.

```
BaIr2Au
1.0
-2.367 2.367 9.497
2.367 -2.367 9.497
2.367 2.367 -9.497
Ba Ir Au
2 4 2
direct
0.000 0.000 0.000 Ba
0.750 0.250 0.500 Ba
0.301 0.625 0.176 Ir
0.375 0.551 0.676 Ir
0.449 0.125 0.824 Ir
0.875 0.699 0.324 Ir
0.250 0.750 0.500 Au
0.500 0.500 0.000 Au
```

Computed properties:
crystal system: tetragonal
size of the total moment: 0.0 μB per formula unit
distance to the lowest polymorph of the same formula: 0.2960 eV/atom
energy of formation: 15.0 kJ per mole of atoms

[5]
An optimized crystal structure of RuRh2W, computed with PBE.

```
RuRh2W
1.0
0.000 3.095 3.095
3.095 0.000 3.095
3.095 3.095 0.000
Ru Rh W
1 2 1
direct
0.000 0.000 0.000 Ru
0.250 0.250 0.250 Rh
0.500 0.500 0.500 Rh
0.750 0.750 0.750 W
```

Computed properties:
crystal system: cubic
size of the total moment: 0.9 μB per formula unit
distance to the lowest polymorph of the same formula: 0.3827 eV/atom
energy of formation: 19.2 kJ per mole of atoms

[6]
An optimized crystal structure of Na2HoAgCl6, computed with PBE.

```
Na2HoAgCl6
1.0
6.987 0.000 0.000
-3.478 6.065 0.000
-3.475 -2.017 6.242
Na Ho Ag Cl
2 1 1 6
direct
0.000 0.000 0.000 Na
0.020 0.510 0.528 Na
0.617 0.309 0.926 Ho
0.590 0.796 0.387 Ag
0.097 0.408 0.194 Cl
0.135 0.200 0.706 Cl
0.506 0.098 0.195 Cl
0.507 0.936 0.705 Cl
0.770 0.572 0.706 Cl
0.786 0.690 0.195 Cl
```

Computed properties:
crystal system: triclinic
size of the total moment: 0.0 μB per formula unit
energy relative to the elements, uncorrected: -1725 meV per atom

[7]
An optimized crystal structure of AcTbPmSc, computed with PBE.

```
AcTbPmSc
1.0
0.000 4.068 4.068
4.068 0.000 4.068
4.068 4.068 0.000
Ac Tb Pm Sc
1 1 1 1
direct
0.000 0.000 0.000 Ac
0.750 0.750 0.750 Tb
0.500 0.500 0.500 Pm
0.250 0.250 0.250 Sc
```

Computed properties:
crystal system: cubic
size of the total moment: 0.0 μB per formula unit
energy of formation: 11.6 kJ per mole of atoms

[8]
An optimized crystal structure of NaNp2S4, computed with PBE.

```
NaNp2S4
1.0
7.596 -1.998 0.000
7.596 1.998 0.000
-2.978 0.000 6.244
Na Np S
1 2 4
direct
0.000 0.000 0.000 Na
0.264 0.264 0.266 Np
0.736 0.736 0.734 Np
0.142 0.142 0.462 S
0.351 0.351 0.994 S
0.649 0.649 0.006 S
0.858 0.858 0.538 S
```

Computed properties:
crystal system: monoclinic
size of the total moment: 7.0 μB per formula unit
distance to the lowest polymorph of the same formula: 0.0000 eV/atom
energy relative to the elements, uncorrected: -1333 meV per atom

[9]
An optimized crystal structure of BeCdHg2, computed with PBE.

```
BeCdHg2
1.0
1.614 0.932 8.760
-1.614 0.932 8.760
0.000 -1.864 8.760
Be Cd Hg
1 1 2
direct
0.000 0.000 0.000 Be
0.500 0.500 0.500 Cd
0.265 0.265 0.265 Hg
0.735 0.735 0.735 Hg
```

Computed properties:
crystal system: trigonal
size of the total moment: 0.0 μB per formula unit
distance to the lowest polymorph of the same formula: 0.0698 eV/atom
energy of formation: 28.9 kJ per mole of atoms

[10]
An optimized crystal structure of Ti3GaAu, computed with PBE.

```
Ti3GaAu
1.0
4.865 0.000 0.000
0.000 4.865 0.000
0.000 0.000 4.865
Ti Ga Au
3 1 1
direct
0.000 0.000 0.500 Ti
0.000 0.500 0.000 Ti
0.500 0.000 0.000 Ti
0.500 0.500 0.500 Ga
0.000 0.000 0.000 Au
```

Computed properties:
crystal system: cubic
size of the total moment: 0.0 μB per formula unit
distance to the lowest polymorph of the same formula: 0.8273 eV/atom
energy of formation: 63.6 kJ per mole of atoms

[11]
An optimized crystal structure of Al2SbTe, computed with PBE.

```
Al2SbTe
1.0
3.181 0.000 0.000
0.000 3.181 0.000
0.000 0.000 9.656
Al Sb Te
2 1 1
direct
0.000 0.000 0.000 Al
0.500 0.500 0.185 Al
0.000 0.000 0.400 Sb
0.500 0.500 0.780 Te
```

Computed properties:
crystal system: tetragonal
size of the total moment: 0.0 μB per formula unit
distance to the lowest polymorph of the same formula: 0.2392 eV/atom
energy relative to the elements, uncorrected: 130 meV per atom

[12]
An optimized crystal structure of Ba2CaRe2, computed with PBE.

```
Ba2CaRe2
1.0
-2.465 2.465 6.724
2.465 -2.465 6.724
2.465 2.465 -6.724
Ba Ca Re
2 1 2
direct
0.250 0.750 0.500 Ba
0.750 0.250 0.500 Ba
0.000 0.000 0.000 Ca
0.418 0.418 0.000 Re
0.582 0.582 0.000 Re
```

Computed properties:
crystal system: tetragonal
size of the total moment: 0.0 μB per formula unit
distance to the lowest polymorph of the same formula: 0.3003 eV/atom
energy of formation: 115.4 kJ per mole of atoms

[13]
An optimized crystal structure of VPtI2N, computed with PBE.

```
VPtI2N
1.0
5.407 0.000 0.000
0.000 5.407 0.000
0.000 0.000 3.611
V Pt I N
1 1 2 1
direct
0.000 0.000 0.000 V
0.500 0.500 0.500 Pt
0.000 0.500 0.000 I
0.500 0.000 0.000 I
0.000 0.000 0.500 N
```

Computed properties:
crystal system: tetragonal
size of the total moment: 0.0 μB per formula unit
distance to the lowest polymorph of the same formula: 0.0000 eV/atom
energy relative to the elements, uncorrected: 518 meV per atom

[14]
An optimized crystal structure of La2PrSmTh, computed with PBE.

```
La2PrSmTh
1.0
6.479 0.000 0.000
0.000 8.515 0.000
-1.441 0.000 6.537
La Pr Sm Th
4 2 2 2
direct
0.216 0.174 0.167 La
0.216 0.826 0.667 La
0.784 0.174 0.333 La
0.784 0.826 0.833 La
0.000 0.399 0.750 Pr
0.000 0.601 0.250 Pr
0.500 0.159 0.750 Sm
0.500 0.841 0.250 Sm
0.500 0.500 0.000 Th
0.500 0.500 0.500 Th
```

Computed properties:
crystal system: monoclinic
size of the total moment: 0.0 μB per formula unit
energy of formation: 20.1 kJ per mole of atoms

[15]
An optimized crystal structure of SrAc4Tl, computed with PBE.

```
SrAc4Tl
1.0
0.000 5.181 5.181
5.181 0.000 5.181
5.181 5.181 0.000
Sr Ac Tl
1 4 1
direct
0.000 0.000 0.000 Sr
0.129 0.624 0.624 Ac
0.624 0.129 0.624 Ac
0.624 0.624 0.129 Ac
0.624 0.624 0.624 Ac
0.250 0.250 0.250 Tl
```

Computed properties:
crystal system: cubic
size of the total moment: 0.0 μB per formula unit
energy of formation: 24.1 kJ per mole of atoms

[16]
An optimized crystal structure of BaBeAs2, computed with PBE.

```
BaBeAs2
1.0
3.744 0.000 0.000
0.000 3.744 0.000
0.000 0.000 6.752
Ba Be As
1 1 2
direct
0.000 0.000 0.000 Ba
0.500 0.500 0.332 Be
0.000 0.000 0.492 As
0.500 0.500 0.652 As
```

Computed properties:
crystal system: tetragonal
size of the total moment: 0.0 μB per formula unit
energy of formation: 0.7 kJ per mole of atoms

[17]
An optimized crystal structure of Sr2Y, computed with PBE.

```
Sr2Y
1.0
-4.609 4.609 3.360
4.609 -4.609 3.360
4.609 4.609 -3.360
Sr Y
4 2
direct
0.160 0.660 0.819 Sr
0.340 0.160 0.500 Sr
0.660 0.840 0.500 Sr
0.840 0.340 0.181 Sr
0.250 0.250 0.000 Y
0.750 0.750 0.000 Y
```

Computed properties:
crystal system: tetragonal
size of the total moment: 0.0 μB per formula unit
distance to the lowest polymorph of the same formula: 0.0708 eV/atom
energy of formation: 20.5 kJ per mole of atoms

[18]
An optimized crystal structure of Zr2PaPd, computed with PBE.

```
Zr2PaPd
1.0
1.539 0.889 10.572
-1.539 0.889 10.572
0.000 -1.777 10.572
Zr Pa Pd
2 1 1
direct
0.095 0.095 0.095 Zr
0.905 0.905 0.905 Zr
0.000 0.000 0.000 Pa
0.500 0.500 0.500 Pd
```

Computed properties:
crystal system: trigonal
size of the total moment: 0.0 μB per formula unit
distance to the lowest polymorph of the same formula: 0.3082 eV/atom
energy of formation: 4.5 kJ per mole of atoms

[19]
An optimized crystal structure of SrMoPt, computed with PBE.

```
SrMoPt
1.0
3.183 0.000 0.000
-1.592 2.757 0.000
0.000 0.000 7.265
Sr Mo Pt
1 1 1
direct
0.000 0.000 0.000 Sr
0.667 0.333 0.375 Mo
0.333 0.667 0.638 Pt
```

Computed properties:
crystal system: trigonal
size of the total moment: 0.0 μB per formula unit
distance to the lowest polymorph of the same formula: 0.7819 eV/atom
energy of formation: 62.7 kJ per mole of atoms

[20]
An optimized crystal structure of DyHo2Tl9, computed with PBE.

```
DyHo2Tl9
1.0
4.760 0.000 0.000
0.000 4.760 0.000
0.000 0.000 14.281
Dy Ho Tl
1 2 9
direct
0.000 0.000 0.000 Dy
0.000 0.000 0.333 Ho
0.000 0.000 0.667 Ho
0.000 0.500 0.167 Tl
0.000 0.500 0.500 Tl
0.000 0.500 0.833 Tl
0.500 0.000 0.167 Tl
0.500 0.000 0.500 Tl
0.500 0.000 0.833 Tl
0.500 0.500 0.000 Tl
0.500 0.500 0.333 Tl
0.500 0.500 0.667 Tl
```

Computed properties:
crystal system: tetragonal
size of the total moment: 0.0 μB per formula unit
energy of formation: -21.6 kJ per mole of atoms

[21]
An optimized crystal structure of Ce3Pm2YBi6, computed with PBE.

```
Ce3Pm2YBi6
1.0
3.963 -6.864 0.000
3.963 6.864 0.000
-2.644 0.000 7.469
Ce Pm Y Bi
3 2 1 6
direct
0.000 0.000 0.000 Ce
0.332 0.668 0.000 Ce
0.668 0.332 0.000 Ce
0.166 0.834 0.500 Pm
0.834 0.166 0.500 Pm
0.500 0.500 0.500 Y
0.088 0.418 0.253 Bi
0.254 0.254 0.750 Bi
0.418 0.088 0.253 Bi
0.582 0.912 0.747 Bi
0.746 0.746 0.250 Bi
0.912 0.582 0.747 Bi
```

Computed properties:
crystal system: monoclinic
size of the total moment: 2.6 μB per formula unit
energy of formation: -83.1 kJ per mole of atoms

[22]
An optimized crystal structure of Pu6Sn2Ru, computed with PBE.

```
Pu6Sn2Ru
1.0
5.322 0.000 0.000
0.000 9.388 0.000
-4.088 0.000 8.356
Pu Sn Ru
12 4 2
direct
0.036 0.169 0.049 Pu
0.036 0.331 0.549 Pu
0.254 0.599 0.180 Pu
0.254 0.901 0.680 Pu
0.382 0.247 0.851 Pu
0.382 0.253 0.351 Pu
0.618 0.747 0.649 Pu
0.618 0.753 0.149 Pu
0.746 0.099 0.320 Pu
0.746 0.401 0.820 Pu
0.964 0.669 0.451 Pu
0.964 0.831 0.951 Pu
0.257 0.592 0.822 Sn
0.257 0.908 0.322 Sn
0.743 0.092 0.678 Sn
0.743 0.408 0.178 Sn
0.500 0.000 0.000 Ru
0.500 0.500 0.500 Ru
```

Computed properties:
crystal system: monoclinic
size of the total moment: 9.7 μB per formula unit
energy of formation: -7.9 kJ per mole of atoms

[23]
An optimized crystal structure of HfTlS2, computed with PBE.

```
HfTlS2
1.0
1.796 1.037 8.658
-1.796 1.037 8.658
0.000 -2.074 8.658
Hf Tl S
1 1 2
direct
0.000 0.000 0.000 Hf
0.837 0.837 0.837 Tl
0.391 0.391 0.391 S
0.609 0.609 0.609 S
```

Computed properties:
crystal system: trigonal
size of the total moment: 0.0 μB per formula unit
energy relative to the elements, uncorrected: -1181 meV per atom

[24]
An optimized crystal structure of NaSrScS2, computed with PBE.

```
NaSrScS2
1.0
5.068 0.000 0.000
0.000 5.068 0.000
0.000 0.000 5.963
Na Sr Sc S
1 1 1 2
direct
0.000 0.000 0.000 Na
0.500 0.500 0.000 Sr
0.500 0.500 0.500 Sc
0.000 0.500 0.500 S
0.500 0.000 0.500 S
```

Computed properties:
crystal system: tetragonal
size of the total moment: 0.0 μB per formula unit
energy relative to the elements, uncorrected: -481 meV per atom

[25]
An optimized crystal structure of YP2Pd6, computed with PBE.

```
YP2Pd6
1.0
4.081 0.000 0.000
0.000 4.081 0.000
0.000 0.000 8.638
Y P Pd
1 2 6
direct
0.000 0.000 0.000 Y
0.500 0.500 0.127 P
0.500 0.500 0.873 P
0.000 0.000 0.500 Pd
0.000 0.500 0.269 Pd
0.000 0.500 0.731 Pd
0.500 0.000 0.269 Pd
0.500 0.000 0.731 Pd
0.500 0.500 0.500 Pd
```

Computed properties:
crystal system: tetragonal
size of the total moment: 0.0 μB per formula unit
energy of formation: -60.9 kJ per mole of atoms

[26]
An optimized crystal structure of Fe3Hg2, computed with PBE.

```
Fe3Hg2
1.0
2.220 1.282 4.573
-2.220 1.282 4.573
0.000 -2.563 4.573
Fe Hg
3 2
direct
0.000 0.000 0.000 Fe
0.185 0.185 0.185 Fe
0.815 0.815 0.815 Fe
0.397 0.397 0.397 Hg
0.603 0.603 0.603 Hg
```

Computed properties:
crystal system: trigonal
size of the total moment: 7.7 μB per formula unit
distance to the lowest polymorph of the same formula: 0.0650 eV/atom
energy of formation: 42.6 kJ per mole of atoms